(1)
{"formula": "LiTbYRu", "functional": "PBE-GGA", "state": "relaxed", "lattice": [[0.0000, 3.4850, 3.4850], [3.4850, 0.0000, 3.4850], [3.4850, 3.4850, 0.0000]], "species": ["Li", "Tb", "Y", "Ru"], "fractional_positions": [[0.0000, 0.0000, 0.0000], [0.7500, 0.7500, 0.7500], [0.2500, 0.2500, 0.2500], [0.5000, 0.5000, 0.5000]], "final_energy_ev_per_cell": -23.34}

***

(2)
{"formula": "Er3GaAu2", "functional": "PBE-GGA", "state": "relaxed", "lattice": [[3.5394, 0.0000, 0.0000], [0.0000, 3.5394, 0.0000], [0.0000, 0.0000, 10.8243]], "species": ["Er", "Er", "Er", "Ga", "Au", "Au"], "fractional_positions": [[0.0000, 0.0000, 0.0000], [0.0000, 0.0000, 0.3336], [0.0000, 0.0000, 0.6664], [0.5000, 0.5000, 0.5000], [0.5000, 0.5000, 0.1705], [0.5000, 0.5000, 0.8295]], "final_energy_ev_per_cell": -27.97}

***

(3)
{"formula": "LaNdHo4", "functional": "PBE-GGA", "state": "relaxed", "lattice": [[5.0638, 0.0000, 0.0000], [-2.5274, 5.6791, 0.0000], [-0.0085, -2.2856, 6.8226]], "species": ["La", "Nd", "Ho", "Ho", "Ho", "Ho"], "fractional_positions": [[0.0000, 0.0000, 0.0000], [0.0000, 0.0000, 0.5000], [0.3305, 0.6615, 0.6646], [0.3320, 0.6645, 0.1671], [0.6680, 0.3355, 0.8329], [0.6695, 0.3385, 0.3354]], "final_energy_ev_per_cell": -27.84}

***

(4)
{"formula": "LaCdAu3", "functional": "PBE-GGA", "state": "relaxed", "lattice": [[1.8317, -13.7539, 0.0000], [1.8317, 13.7539, 0.0000], [0.0000, 0.0000, 4.6301]], "species": ["La", "La", "Cd", "Cd", "Au", "Au", "Au", "Au", "Au", "Au"], "fractional_positions": [[0.0781, 0.9219, 0.7500], [0.9219, 0.0781, 0.2500], [0.2108, 0.7892, 0.2500], [0.7892, 0.2108, 0.7500], [0.3134, 0.6866, 0.2500], [0.3724, 0.6276, 0.7500], [0.4728, 0.5272, 0.7500], [0.5272, 0.4728, 0.2500], [0.6276, 0.3724, 0.2500], [0.6866, 0.3134, 0.7500]], "final_energy_ev_per_cell": -36.85}

***

(5)
{"formula": "Ac2CuBi3Rh4", "functional": "PBE-GGA", "state": "relaxed", "lattice": [[4.5662, 0.0000, 0.0000], [0.0000, 4.5662, 0.0000], [0.0000, 0.0000, 11.1969]], "species": ["Ac", "Ac", "Cu", "Bi", "Bi", "Bi", "Rh", "Rh", "Rh", "Rh"], "fractional_positions": [[0.0000, 0.5000, 0.2350], [0.5000, 0.0000, 0.7650], [0.5000, 0.5000, 0.0000], [0.0000, 0.0000, 0.0000], [0.0000, 0.5000, 0.6332], [0.5000, 0.0000, 0.3668], [0.0000, 0.0000, 0.5000], [0.0000, 0.5000, 0.8724], [0.5000, 0.0000, 0.1276], [0.5000, 0.5000, 0.5000]], "final_energy_ev_per_cell": -57.98}

***

(6)
{"formula": "ThAl2Tc", "functional": "PBE-GGA", "state": "relaxed", "lattice": [[2.0775, -4.9256, 0.0000], [2.0775, 4.9256, 0.0000], [0.0000, 0.0000, 7.8184]], "species": ["Th", "Th", "Al", "Al", "Al", "Al", "Tc", "Tc"], "fractional_positions": [[0.0633, 0.9367, 0.7500], [0.9367, 0.0633, 0.2500], [0.3455, 0.6545, 0.5488], [0.3455, 0.6545, 0.9512], [0.6545, 0.3455, 0.0488], [0.6545, 0.3455, 0.4512], [0.2068, 0.7932, 0.2500], [0.7932, 0.2068, 0.7500]], "final_energy_ev_per_cell": -53.81}

***

Table of calculated volume (Å³/atom), in record order: 21.16, 22.60, 32.70, 23.33, 23.35, 20.00
Table of energy relative to the elements (eV/atom), in record order: -0.2633, -0.7835, 0.0270, -0.5496, -0.4616, -0.4085
Table of DOS(E_F) (states/eV/cell), in record order: 2.71, 3.18, 8.59, 4.26, 7.01, 4.54